Record 1
Material: PmTlGeI6
Method: DFT, GGA-PBE
State: optimized geometry

Cell and atoms, written as POSCAR:
```
PmTlGeI6
1.0
7.889 0.000 0.000
-3.945 6.832 0.000
0.000 0.000 15.377
Pm Tl Ge I
2 2 2 12
Cartesian
0.000 4.555 3.844
3.945 2.277 11.533
0.000 0.000 0.000
0.000 0.000 7.688
0.000 4.555 11.533
3.945 2.277 3.844
-1.388 2.518 9.770
-2.458 4.372 13.295
1.388 2.518 13.295
-1.070 6.775 9.770
2.874 0.057 2.081
1.487 2.461 5.607
2.458 4.372 9.770
1.070 6.775 13.295
5.015 0.057 5.607
2.557 4.315 2.081
6.403 2.461 2.081
5.332 4.315 5.607
```

Computed properties:
Density = 4.7 g/cm³
Formation energy (no corrections) = -0.877 eV per atom
Magnetization = 0.00 μB per formula unit

---

Record 2
Material: K2GaReSn
Method: DFT, GGA-PBE
State: optimized geometry

Cell and atoms, written as POSCAR:
```
K2GaReSn
1.0
6.077 0.000 0.000
0.000 6.077 0.000
0.000 0.000 4.849
K Ga Re Sn
2 1 1 1
Cartesian
0.000 3.039 0.000
3.039 0.000 0.000
0.000 0.000 0.000
0.000 0.000 2.425
3.039 3.039 2.425
```

Computed properties:
Density = 4.2 g/cm³
Final energy = -16.34 eV per cell
Magnetization = 1.97 μB per formula unit

---

Record 3
Material: MgSb2Cl8
Method: DFT, GGA-PBE
State: optimized geometry

Cell and atoms, written as POSCAR:
```
MgSb2Cl8
1.0
6.230 -4.927 0.000
6.230 4.927 0.000
-2.358 0.000 6.803
Mg Sb Cl
1 2 8
Cartesian
0.000 0.000 0.000
0.323 0.000 4.213
9.778 0.000 2.589
4.751 3.155 1.235
1.680 0.000 1.806
5.350 3.155 5.568
2.335 0.000 5.424
7.766 0.000 1.379
4.751 -3.155 1.235
8.421 0.000 4.996
5.350 -3.155 5.568
```

Computed properties:
Density = 2.2 g/cm³
Formation energy (no corrections) = -1.024 eV per atom
Magnetization = 0.00 μB per formula unit

---

Record 4
Material: NdU3P4
Method: DFT, GGA-PBE
State: optimized geometry

Cell and atoms, written as POSCAR:
```
NdU3P4
1.0
4.024 -5.649 0.000
4.024 5.649 0.000
0.000 0.000 3.962
Nd U P
1 3 4
Cartesian
0.000 0.000 0.000
2.012 2.824 1.981
2.012 -2.824 1.981
4.024 0.000 0.000
4.024 2.768 0.000
2.103 0.000 1.981
5.945 0.000 1.981
4.024 -2.768 0.000
```

Computed properties:
Density = 9.1 g/cm³
Final energy = -69.00 eV per cell
Magnetization = 6.59 μB per formula unit

---

Record 5
Material: CaTeMo2
Method: DFT, GGA-PBE
State: optimized geometry

Cell and atoms, written as POSCAR:
```
CaTeMo2
1.0
-2.111 2.111 10.286
2.111 -2.111 10.286
2.111 2.111 -10.286
Ca Te Mo
2 2 4
Cartesian
0.000 0.000 0.000
0.000 2.111 5.143
2.111 0.000 5.143
0.000 0.000 10.286
1.055 -0.685 7.714
1.426 1.055 2.571
1.055 2.796 -2.571
0.685 1.055 12.857
```

Computed properties:
Density = 6.5 g/cm³
Formation energy (no corrections) = 0.509 eV per atom
Magnetization = 0.00 μB per formula unit

---

Record 6
Material: LaZrCd2B
Method: DFT, GGA-PBE
State: optimized geometry

Cell and atoms, written as POSCAR:
```
LaZrCd2B
1.0
4.624 0.000 0.000
0.000 4.624 0.000
0.000 0.000 5.243
La Zr Cd B
1 1 2 1
Cartesian
0.000 0.000 0.000
2.312 2.312 0.000
0.000 2.312 2.621
2.312 0.000 2.621
0.000 0.000 2.621
```

Computed properties:
Density = 6.9 g/cm³
Final energy = -19.74 eV per cell
Magnetization = 0.00 μB per formula unit

---

Record 7
Material: ThCrGe
Method: DFT, GGA-PBE
State: optimized geometry

Cell and atoms, written as POSCAR:
```
ThCrGe
1.0
0.000 3.144 7.413
2.914 0.000 7.413
2.914 3.144 0.000
Th Cr Ge
2 2 2
Cartesian
2.914 3.144 2.074
2.914 3.144 12.753
2.914 2.211 7.413
2.914 4.078 7.413
2.914 3.144 5.038
2.914 3.144 9.789
```

Computed properties:
Density = 8.7 g/cm³
Final energy = -43.82 eV per cell
Magnetization = 0.00 μB per formula unit

---

Record 8
Material: RbPbSN2
Method: DFT, GGA-PBE
State: optimized geometry

Cell and atoms, written as POSCAR:
```
RbPbSN2
1.0
4.700 0.000 0.000
0.000 4.700 0.000
0.000 0.000 5.373
Rb Pb S N
1 1 1 2
Cartesian
0.000 0.000 0.000
2.350 2.350 2.687
2.350 2.350 0.000
0.000 2.350 2.687
2.350 0.000 2.687
```

Computed properties:
Density = 4.9 g/cm³
Formation energy (no corrections) = 1.049 eV per atom
Magnetization = 3.31 μB per formula unit